Entry from Alexandria via LeMat-Bulk: a geometry-optimized Sc3SiO structure (PBE).

a = 4.337 Å, b = 5.930 Å, c = 6.931 Å
α = 99.50°, β = 90.00°, γ = 90.00°
Atoms (fractional coordinates):
Sc (0.750, 0.542, 0.656)
Sc (0.250, 0.811, 0.928)
Sc (0.750, 0.189, 0.072)
Sc (0.250, 0.967, 0.368)
Sc (0.250, 0.458, 0.344)
Sc (0.750, 0.033, 0.632)
Si (0.250, 0.303, 0.733)
Si (0.750, 0.697, 0.267)
O (0.750, 0.852, 0.861)
O (0.250, 0.148, 0.139)

Output
As for the size of the total moment: 0.0 μB/f.u. The raw formation energy comes out at -1.387 eV/atom. Its space group is P2_1/m, No. 11. The density of states at the Fermi level is 0.648 states/eV per atom. The value obtained for the energy above the most stable polymorph in this dataset is 0.085 eV per atom.